Compound: AcZnAgF6
Source: the Alexandria database
Functional: PBE
Structure: relaxed

The value obtained for the volume is 153.6 Å³/cell. Its electronic total energy is -44.66 eV/cell. The value obtained for the density of states at the Fermi level is 0.00 states/eV/f.u. As for the formation energy (no corrections): -2799 meV per atom.

The space group is P312 (No. 149) and the conventional cell measures 5.8015, 5.8015 and 5.2681 Å, with angles of 90.00, 90.00 and 120.00 degrees. The asymmetric unit holds Ac at (0.0000, 0.0000, 0.0000), Zn at (0.3333, 0.6667, 0.5000), Ag at (0.6667, 0.3333, 0.5000) and F at (0.0517, 0.3640, 0.2722).